No. 1
Here is a PBEsol-optimized structure of BaMo2Ru from Alexandria via LeMat-Bulk. Energies are from SCAN.

Results
Excess energy over the best structure of this formula in the dataset, meV per atom: 328
ρ, g/cm³: 9.85
Electronic total energy, eV per formula unit: -139.13
Volume, Å³ per cell: 290.2

a b c (Å): 6.6208 6.6208 6.6208
angles (deg): 90.00 90.00 90.00
Space group F-43m (No. 216)
One atom of each set of equivalent atoms:
Ba (0.0000, 0.0000, 0.0000) (multiplicity 4)
Mo (0.0000, 0.0000, 0.5000) (multiplicity 4)
Mo (0.2500, 0.2500, 0.7500) (multiplicity 4)
Ru (0.2500, 0.2500, 0.2500) (multiplicity 4)



No. 2
Here is a PBEsol-optimized structure of LaScTcRh2 from Alexandria via LeMat-Bulk. Energies are from SCAN.

Results
ρ, g/cm³: 7.48
Electronic total energy, eV per formula unit: -153.00
Volume, Å³ per cell: 108.3

a b c (Å): 4.6639 4.6639 4.9778
angles (deg): 90.00 90.00 90.00
Space group P4/mmm (No. 123)
One atom of each set of equivalent atoms:
La (0.0000, 0.0000, 0.0000) (multiplicity 1)
Sc (0.0000, 0.0000, 0.5000) (multiplicity 1)
Tc (0.5000, 0.5000, 0.5000) (multiplicity 1)
Rh (0.0000, 0.5000, 0.0000) (multiplicity 2)



No. 3
Here is a PBEsol-optimized structure of BaZn2Ni from Alexandria via LeMat-Bulk. Energies are from SCAN.

Results
ρ, g/cm³: 6.19
Electronic total energy, eV per formula unit: -83.55
Volume, Å³ per cell: 263.2

a b c (Å): 4.2633 4.2633 16.7225
angles (deg): 90.00 90.00 120.00
Space group R3m (No. 160, hexagonal axes)
One atom of each set of equivalent atoms:
Ba (0.0000, 0.0000, 0.0000) (multiplicity 3)
Zn (0.0000, 0.0000, 0.1870) (multiplicity 3)
Zn (0.0000, 0.0000, 0.4887) (multiplicity 3)
Ni (0.0000, 0.0000, 0.8168) (multiplicity 3)



No. 4
Here is a PBEsol-optimized structure of AlTlOs2 from Alexandria via LeMat-Bulk. Energies are from SCAN.

Results
Excess energy over the best structure of this formula in the dataset, meV per atom: 169
ρ, g/cm³: 16.13
Electronic total energy, eV per formula unit: -221.53
Volume, Å³ per cell: 63.0

a b c (Å): 4.5931 2.9375 5.0165
angles (deg): 90.00 111.46 90.00
Space group P2/m (No. 10)
One atom of each set of equivalent atoms:
Al (0.0000, 0.0000, 0.0000) (multiplicity 1)
Tl (0.0000, 0.5000, 0.5000) (multiplicity 1)
Os (0.5000, 0.0000, 0.5000) (multiplicity 1)
Os (0.5000, 0.5000, 0.0000) (multiplicity 1)



No. 5
Here is a PBEsol-optimized structure of LiZn2Ag from Alexandria via LeMat-Bulk. Energies are from SCAN.

Results
ρ, g/cm³: 7.09
Electronic total energy, eV per formula unit: -61.32
Volume, Å³ per cell: 57.5

a b c (Å): 3.1371 3.1371 5.8469
angles (deg): 90.00 90.00 90.00
Space group P4/mmm (No. 123)
One atom of each set of equivalent atoms:
Li (0.0000, 0.0000, 0.0000) (multiplicity 1)
Zn (0.5000, 0.5000, 0.2362) (multiplicity 2)
Ag (0.0000, 0.0000, 0.5000) (multiplicity 1)



No. 6
Here is a PBEsol-optimized structure of Pd2SO from Alexandria via LeMat-Bulk. Energies are from SCAN.

Results
ρ, g/cm³: 7.86
Electronic total energy, eV per formula unit: -81.94
Formation energy without anion corrections, eV/atom: -0.133
Volume, Å³ per cell: 220.5

a b c (Å): 5.8412 5.8412 6.4630
angles (deg): 90.00 90.00 90.00
Space group I-42d (No. 122)
One atom of each set of equivalent atoms:
Pd (0.2293, 0.7500, 0.1250) (multiplicity 8)
S (0.0000, 0.0000, 0.5000) (multiplicity 4)
O (0.0000, 0.0000, 0.0000) (multiplicity 4)



Copy entry 2 word for word.
Here is a PBEsol-optimized structure of LaScTcRh2 from Alexandria via LeMat-Bulk. Energies are from SCAN.

Results
ρ, g/cm³: 7.48
Electronic total energy, eV per formula unit: -153.00
Volume, Å³ per cell: 108.3

a b c (Å): 4.6639 4.6639 4.9778
angles (deg): 90.00 90.00 90.00
Space group P4/mmm (No. 123)
One atom of each set of equivalent atoms:
La (0.0000, 0.0000, 0.0000) (multiplicity 1)
Sc (0.0000, 0.0000, 0.5000) (multiplicity 1)
Tc (0.5000, 0.5000, 0.5000) (multiplicity 1)
Rh (0.0000, 0.5000, 0.0000) (multiplicity 2)



ρ of number 2 (LaScTcRh2)?
7.48 g/cm³